# LiPaZn2

LiPaZn2 after structural relaxation (GGA-PBE, Alexandria via LeMat-Bulk).

Lattice parameters (Å, degrees): 4.7805 4.7805 4.7805 60.00 60.00 60.00
With the nearest neighbours (Å) after each atom.
Positions (direct):
Zn 0.2500 0.2500 0.2500  4 Pa 2.93, 4 Li 2.93
Zn 0.7500 0.7500 0.7500  4 Li 2.93, 4 Pa 2.93
Li 0.5000 0.5000 0.5000  8 Zn 2.93
Pa 0.0000 0.0000 0.0000  8 Zn 2.93

## Properties
total magnetization = 0.00 μB per atom
SG = Fm-3m
offset from the most stable computed form = 155 meV per atom
formation energy = 0.073 eV per atom